--- one ---
Material: Rb3Ca2H7
Method: DFT, PBE
State: optimized geometry

Values from the calculation:
As for the symmetry: Cmmm. Its density of states at the Fermi level is 0.00 states/eV per cell.

POSCAR file:
```
Rb3Ca2H7
1.0
-0.8849 -2.0832 3.7543
4.4456 -0.5870 0.7221
-1.8017 10.7234 5.5257
Rb Ca H
3 2 7
direct
0.5000 0.5000 0.0000 Rb
0.5000 0.6855 0.3710 Rb
0.5000 0.3145 0.6290 Rb
0.0000 0.9046 0.8092 Ca
0.0000 0.0954 0.1908 Ca
0.0000 0.4055 0.8110 H
0.0000 0.8089 0.6178 H
0.0000 0.0000 0.0000 H
0.0000 0.5945 0.1890 H
0.5000 0.0951 0.1903 H
0.5000 0.9049 0.8097 H
0.0000 0.1911 0.3822 H
```

--- two ---
Material: Rb3Ca2H7
Method: DFT, PBE
State: optimized geometry

Values from the calculation:
As for the symmetry: I4/mmm. Its density of states at the Fermi level is 0.00 states/eV per cell.

POSCAR file:
```
Rb3Ca2H7
1.0
-1.8875 -3.1987 2.5273
-0.9221 -2.3778 -3.6983
11.8932 -2.6859 1.4901
Rb Ca H
3 2 7
direct
0.3133 0.3133 0.6267 Rb
0.6867 0.6867 0.3733 Rb
0.5000 0.5000 0.0000 Rb
0.0958 0.0958 0.1916 Ca
0.9042 0.9042 0.8084 Ca
0.0000 0.0000 0.0000 H
0.9048 0.4048 0.8096 H
0.4048 0.9048 0.8096 H
0.0952 0.5952 0.1904 H
0.5952 0.0952 0.1904 H
0.1924 0.1924 0.3848 H
0.8076 0.8076 0.6152 H
```

It turns out two is the most stable, with the second structure 25 meV/atom higher.